This record from Alexandria describes NaTa2GaAu at its PBEsol-relaxed geometry. The functional is meta-GGA SCAN.

## Properties
Formation energy from the elements in eV/atom: 1.315
Total energy in eV per formula unit: -216.31
Space-group type: No. 123
Theoretical density in g cm⁻³: 9.1
D(E_F) in states/eV per cell: 4.19

CIF file:
```
data_NaTa2GaAu
_cell_length_a 4.9400
_cell_length_b 4.9400
_cell_length_c 4.8743
_cell_angle_alpha 90.00
_cell_angle_beta 90.00
_cell_angle_gamma 90.00
_symmetry_space_group_name_H-M 'P 1'
_symmetry_Int_Tables_number 1
loop_
_symmetry_equiv_pos_as_xyz
'x,y,z'
loop_
_atom_site_label
_atom_site_type_symbol
_atom_site_fract_x
_atom_site_fract_y
_atom_site_fract_z
_atom_site_occupancy
Na1 Na 0.0000 0.0000 0.0000 1
Ta1 Ta 0.0000 0.5000 0.5000 1
Ta2 Ta 0.5000 0.0000 0.5000 1
Ga1 Ga 0.5000 0.5000 0.0000 1
Au1 Au 0.0000 0.0000 0.5000 1
```


This record from Alexandria describes Mn8O17 at its PBEsol-relaxed geometry. The functional is meta-GGA SCAN.

## Properties
ΔE_f (raw) in eV per atom: -1.9121
Total energy in eV per formula unit: -299.77
Space-group type: No. 2
Theoretical density in g cm⁻³: 4.4

CIF file:
```
data_Mn8O17
_cell_length_a 5.6830
_cell_length_b 7.0058
_cell_length_c 7.0194
_cell_angle_alpha 87.37
_cell_angle_beta 78.32
_cell_angle_gamma 78.30
_symmetry_space_group_name_H-M 'P 1'
_symmetry_Int_Tables_number 1
loop_
_symmetry_equiv_pos_as_xyz
'x,y,z'
loop_
_atom_site_label
_atom_site_type_symbol
_atom_site_fract_x
_atom_site_fract_y
_atom_site_fract_z
_atom_site_occupancy
Mn1 Mn 0.0755 0.0169 0.1806 1
Mn2 Mn 0.1665 0.3192 0.5151 1
Mn3 Mn 0.3337 0.6807 0.4844 1
Mn4 Mn 0.4243 0.9827 0.8195 1
Mn5 Mn 0.5757 0.0173 0.1805 1
Mn6 Mn 0.6663 0.3193 0.5156 1
Mn7 Mn 0.8335 0.6808 0.4849 1
Mn8 Mn 0.9245 0.9831 0.8194 1
O1 O 0.0212 0.7925 0.6237 1
O2 O 0.1475 0.5490 0.3590 1
O3 O 0.1680 0.1218 0.7067 1
O4 O 0.1720 0.8580 0.9536 1
O5 O 0.3277 0.1419 0.0464 1
O6 O 0.3321 0.8782 0.2933 1
O7 O 0.3515 0.4511 0.6408 1
O8 O 0.4793 0.2063 0.3776 1
O9 O 0.5000 0.5000 0.0000 1
O10 O 0.5207 0.7937 0.6224 1
O11 O 0.6484 0.5489 0.3592 1
O12 O 0.6679 0.1218 0.7067 1
O13 O 0.6723 0.8581 0.9536 1
O14 O 0.8280 0.1420 0.0464 1
O15 O 0.8320 0.8782 0.2933 1
O16 O 0.8525 0.4510 0.6410 1
O17 O 0.9788 0.2075 0.3763 1
```


This record from Alexandria describes ZnCuPt2 at its PBEsol-relaxed geometry. The functional is meta-GGA SCAN.

## Properties
Formation energy from the elements in eV/atom: -0.190
Total energy in eV per formula unit: -169.86
Space-group type: No. 160
Theoretical density in g cm⁻³: 15.6
D(E_F) in states/eV per cell: 2.20

CIF file:
```
data_ZnCuPt2
_cell_length_a 8.7606
_cell_length_b 8.7606
_cell_length_c 8.7606
_cell_angle_alpha 17.86
_cell_angle_beta 17.86
_cell_angle_gamma 17.86
_symmetry_space_group_name_H-M 'P 1'
_symmetry_Int_Tables_number 1
loop_
_symmetry_equiv_pos_as_xyz
'x,y,z'
loop_
_atom_site_label
_atom_site_type_symbol
_atom_site_fract_x
_atom_site_fract_y
_atom_site_fract_z
_atom_site_occupancy
Zn1 Zn 0.0000 0.0000 0.0000 1
Cu1 Cu 0.2560 0.2560 0.2560 1
Pt1 Pt 0.5076 0.5076 0.5076 1
Pt2 Pt 0.7482 0.7482 0.7482 1
```


This record from Alexandria describes InWI2Br at its PBEsol-relaxed geometry. The functional is meta-GGA SCAN.

## Properties
ΔE_f (raw) in eV per atom: 0.3326
Total energy in eV per formula unit: -194.35
Space-group type: No. 123
Theoretical density in g cm⁻³: 6.7
D(E_F) in states/eV per cell: 1.46

CIF file:
```
data_InWI2Br
_cell_length_a 5.5358
_cell_length_b 5.5358
_cell_length_c 5.1236
_cell_angle_alpha 90.00
_cell_angle_beta 90.00
_cell_angle_gamma 90.00
_symmetry_space_group_name_H-M 'P 1'
_symmetry_Int_Tables_number 1
loop_
_symmetry_equiv_pos_as_xyz
'x,y,z'
loop_
_atom_site_label
_atom_site_type_symbol
_atom_site_fract_x
_atom_site_fract_y
_atom_site_fract_z
_atom_site_occupancy
In1 In 0.0000 0.0000 0.0000 1
W1 W 0.5000 0.5000 0.5000 1
I1 I 0.0000 0.5000 0.5000 1
I2 I 0.5000 0.0000 0.5000 1
Br1 Br 0.5000 0.5000 0.0000 1
```


This record from Alexandria describes Zr2TiFe at its PBEsol-relaxed geometry. The functional is meta-GGA SCAN.

## Properties
Formation energy from the elements in eV/atom: 0.063
Total energy in eV per formula unit: -95.30
Space-group type: No. 225
Theoretical density in g cm⁻³: 7.0
D(E_F) in states/eV per cell: 3.26

CIF file:
```
data_Zr2TiFe
_cell_length_a 4.5743
_cell_length_b 4.5743
_cell_length_c 4.5743
_cell_angle_alpha 60.00
_cell_angle_beta 60.00
_cell_angle_gamma 60.00
_symmetry_space_group_name_H-M 'P 1'
_symmetry_Int_Tables_number 1
loop_
_symmetry_equiv_pos_as_xyz
'x,y,z'
loop_
_atom_site_label
_atom_site_type_symbol
_atom_site_fract_x
_atom_site_fract_y
_atom_site_fract_z
_atom_site_occupancy
Zr1 Zr 0.2500 0.2500 0.2500 1
Zr2 Zr 0.7500 0.7500 0.7500 1
Ti1 Ti 0.0000 0.0000 0.0000 1
Fe1 Fe 0.5000 0.5000 0.5000 1
```


This record from Alexandria describes BeCu2Si at its PBEsol-relaxed geometry. The functional is meta-GGA SCAN.

## Properties
ΔE_f (raw) in eV per atom: 0.0168
Total energy in eV per formula unit: -44.70
Space-group type: No. 12
Theoretical density in g cm⁻³: 6.2
D(E_F) in states/eV per cell: 0.87

CIF file:
```
data_BeCu2Si
_cell_length_a 4.1500
_cell_length_b 4.1500
_cell_length_c 4.3276
_cell_angle_alpha 99.22
_cell_angle_beta 99.22
_cell_angle_gamma 36.57
_symmetry_space_group_name_H-M 'P 1'
_symmetry_Int_Tables_number 1
loop_
_symmetry_equiv_pos_as_xyz
'x,y,z'
loop_
_atom_site_label
_atom_site_type_symbol
_atom_site_fract_x
_atom_site_fract_y
_atom_site_fract_z
_atom_site_occupancy
Be1 Be 0.0000 0.0000 0.0000 1
Cu1 Cu 0.2529 0.2529 0.7573 1
Cu2 Cu 0.7471 0.7471 0.2427 1
Si1 Si 0.5000 0.5000 0.5000 1
```


This record from Alexandria describes Ho2InGe2 at its PBEsol-relaxed geometry. The functional is meta-GGA SCAN.

## Properties
Formation energy from the elements in eV/atom: -0.789
Total energy in eV per formula unit: -173.48
Space-group type: No. 127
Theoretical density in g cm⁻³: 9.1
D(E_F) in states/eV per cell: 4.61

CIF file:
```
data_Ho2InGe2
_cell_length_a 7.2447
_cell_length_b 7.2447
_cell_length_c 4.1166
_cell_angle_alpha 90.00
_cell_angle_beta 90.00
_cell_angle_gamma 90.00
_symmetry_space_group_name_H-M 'P 1'
_symmetry_Int_Tables_number 1
loop_
_symmetry_equiv_pos_as_xyz
'x,y,z'
loop_
_atom_site_label
_atom_site_type_symbol
_atom_site_fract_x
_atom_site_fract_y
_atom_site_fract_z
_atom_site_occupancy
Ho1 Ho 0.1779 0.3221 0.0000 1
Ho2 Ho 0.3221 0.8221 0.0000 1
Ho3 Ho 0.6779 0.1779 0.0000 1
Ho4 Ho 0.8221 0.6779 0.0000 1
In1 In 0.0000 0.0000 0.5000 1
In2 In 0.5000 0.5000 0.5000 1
Ge1 Ge 0.1222 0.6222 0.5000 1
Ge2 Ge 0.3778 0.1222 0.5000 1
Ge3 Ge 0.6222 0.8778 0.5000 1
Ge4 Ge 0.8778 0.3778 0.5000 1
```


This record from Alexandria describes RbBeCo3 at its PBEsol-relaxed geometry. The functional is meta-GGA SCAN.

## Properties
Formation energy from the elements in eV/atom: 2.825
Total energy in eV per formula unit: -62.88
Space-group type: No. 221
Theoretical density in g cm⁻³: 5.2
D(E_F) in states/eV per cell: 2.53

CIF file:
```
data_RbBeCo3
_cell_length_a 4.4352
_cell_length_b 4.4352
_cell_length_c 4.4352
_cell_angle_alpha 90.00
_cell_angle_beta 90.00
_cell_angle_gamma 90.00
_symmetry_space_group_name_H-M 'P 1'
_symmetry_Int_Tables_number 1
loop_
_symmetry_equiv_pos_as_xyz
'x,y,z'
loop_
_atom_site_label
_atom_site_type_symbol
_atom_site_fract_x
_atom_site_fract_y
_atom_site_fract_z
_atom_site_occupancy
Rb1 Rb 0.0000 0.0000 0.0000 1
Be1 Be 0.5000 0.5000 0.5000 1
Co1 Co 0.0000 0.0000 0.5000 1
Co2 Co 0.0000 0.5000 0.0000 1
Co3 Co 0.5000 0.0000 0.0000 1
```


This record from Alexandria describes TbSnAu at its PBEsol-relaxed geometry. The functional is meta-GGA SCAN.

## Properties
Formation energy from the elements in eV/atom: -1.046
Total energy in eV per formula unit: -154.98
Space-group type: No. 186
Theoretical density in g cm⁻³: 11.5
D(E_F) in states/eV per cell: 0.51

CIF file:
```
data_TbSnAu
_cell_length_a 4.6395
_cell_length_b 4.6395
_cell_length_c 7.3219
_cell_angle_alpha 90.00
_cell_angle_beta 90.00
_cell_angle_gamma 120.00
_symmetry_space_group_name_H-M 'P 1'
_symmetry_Int_Tables_number 1
loop_
_symmetry_equiv_pos_as_xyz
'x,y,z'
loop_
_atom_site_label
_atom_site_type_symbol
_atom_site_fract_x
_atom_site_fract_y
_atom_site_fract_z
_atom_site_occupancy
Tb1 Tb 0.0000 0.0000 0.0000 1
Tb2 Tb 0.0000 0.0000 0.5000 1
Sn1 Sn 0.3333 0.6667 0.2742 1
Sn2 Sn 0.6667 0.3333 0.7742 1
Au1 Au 0.3333 0.6667 0.6747 1
Au2 Au 0.6667 0.3333 0.1747 1
```


This record from Alexandria describes MgAg3 at its PBEsol-relaxed geometry. The functional is meta-GGA SCAN.

## Properties
Formation energy from the elements in eV/atom: -0.149
Total energy in eV per formula unit: -99.67
Polymorph energy (0 for the lowest one) in kJ per mole of atoms: 1.0
Space-group type: No. 221
Theoretical density in g cm⁻³: 8.5
D(E_F) in states/eV per cell: 1.33

CIF file:
```
data_MgAg3
_cell_length_a 4.0780
_cell_length_b 4.0780
_cell_length_c 4.0780
_cell_angle_alpha 90.00
_cell_angle_beta 90.00
_cell_angle_gamma 90.00
_symmetry_space_group_name_H-M 'P 1'
_symmetry_Int_Tables_number 1
loop_
_symmetry_equiv_pos_as_xyz
'x,y,z'
loop_
_atom_site_label
_atom_site_type_symbol
_atom_site_fract_x
_atom_site_fract_y
_atom_site_fract_z
_atom_site_occupancy
Mg1 Mg 0.0000 0.0000 0.0000 1
Ag1 Ag 0.0000 0.5000 0.5000 1
Ag2 Ag 0.5000 0.0000 0.5000 1
Ag3 Ag 0.5000 0.5000 0.0000 1
```


This record from Alexandria describes Ta2FeTe at its PBEsol-relaxed geometry. The functional is meta-GGA SCAN.

## Properties
ΔE_f (raw) in eV per atom: 0.2076
Total energy in eV per formula unit: -187.72
Space-group type: No. 123
Theoretical density in g cm⁻³: 13.8
D(E_F) in states/eV per cell: 2.26

CIF file:
```
data_Ta2FeTe
_cell_length_a 3.9123
_cell_length_b 3.9123
_cell_length_c 4.2949
_cell_angle_alpha 90.00
_cell_angle_beta 90.00
_cell_angle_gamma 90.00
_symmetry_space_group_name_H-M 'P 1'
_symmetry_Int_Tables_number 1
loop_
_symmetry_equiv_pos_as_xyz
'x,y,z'
loop_
_atom_site_label
_atom_site_type_symbol
_atom_site_fract_x
_atom_site_fract_y
_atom_site_fract_z
_atom_site_occupancy
Ta1 Ta 0.0000 0.5000 0.0000 1
Ta2 Ta 0.5000 0.0000 0.0000 1
Fe1 Fe 0.0000 0.0000 0.5000 1
Te1 Te 0.5000 0.5000 0.5000 1
```


This record from Alexandria describes Na2MnBAsO7 at its PBEsol-relaxed geometry. The functional is meta-GGA SCAN.

## Properties
ΔE_f (raw) in eV per atom: -1.9789
Total energy in eV per formula unit: -121.67
Space-group type: No. 11
Theoretical density in g cm⁻³: 3.1

CIF file:
```
data_Na2MnBAsO7
_cell_length_a 5.3938
_cell_length_b 6.4581
_cell_length_c 9.1841
_cell_angle_alpha 90.00
_cell_angle_beta 94.26
_cell_angle_gamma 90.00
_symmetry_space_group_name_H-M 'P 1'
_symmetry_Int_Tables_number 1
loop_
_symmetry_equiv_pos_as_xyz
'x,y,z'
loop_
_atom_site_label
_atom_site_type_symbol
_atom_site_fract_x
_atom_site_fract_y
_atom_site_fract_z
_atom_site_occupancy
Na1 Na 0.2373 0.0022 0.2956 1
Na2 Na 0.2373 0.4978 0.2956 1
Na3 Na 0.7627 0.5022 0.7044 1
Na4 Na 0.7627 0.9978 0.7044 1
Mn1 Mn 0.2115 0.7500 0.8377 1
Mn2 Mn 0.7885 0.2500 0.1623 1
B1 B 0.2794 0.7500 0.5873 1
B2 B 0.7206 0.2500 0.4127 1
As1 As 0.2752 0.2500 0.9370 1
As2 As 0.7248 0.7500 0.0630 1
O1 O 0.0486 0.7500 0.6508 1
O2 O 0.1229 0.2500 0.0928 1
O3 O 0.1880 0.0460 0.8256 1
O4 O 0.1880 0.4540 0.8256 1
O5 O 0.3240 0.7500 0.4495 1
O6 O 0.4065 0.7500 0.0232 1
O7 O 0.4590 0.7500 0.7098 1
O8 O 0.5410 0.2500 0.2902 1
O9 O 0.5935 0.2500 0.9768 1
O10 O 0.6760 0.2500 0.5505 1
O11 O 0.8120 0.5460 0.1744 1
O12 O 0.8120 0.9540 0.1744 1
O13 O 0.8771 0.7500 0.9072 1
O14 O 0.9514 0.2500 0.3492 1
```